A plane-wave DFT calculation with SCAN was carried out for a crystal of LiAlGeO4 relaxed with PBEsol.

Structure (CIF):
```
data_LiAlGeO4
_chemical_formula_sum 'Li6 Al6 Ge6 O24'
_cell_length_a 8.521
_cell_length_b 8.521
_cell_length_c 8.521
_cell_angle_alpha 107.81
_cell_angle_beta 107.81
_cell_angle_gamma 107.81
_symmetry_space_group_name_H-M 'P 1'
_symmetry_Int_Tables_number 1
loop_
_symmetry_equiv_pos_as_xyz
'x,y,z'
loop_
_atom_site_label
_atom_site_fract_x
_atom_site_fract_y
_atom_site_fract_z
_atom_site_occupancy
Li1 0.032 0.426 0.263 1
Li2 0.263 0.032 0.426 1
Li3 0.426 0.263 0.032 1
Li4 0.574 0.737 0.968 1
Li5 0.737 0.968 0.574 1
Li6 0.968 0.574 0.737 1
Al1 0.065 0.293 0.885 1
Al2 0.115 0.935 0.707 1
Al3 0.293 0.885 0.065 1
Al4 0.707 0.115 0.935 1
Al5 0.885 0.065 0.293 1
Al6 0.935 0.707 0.115 1
Ge1 0.221 0.394 0.635 1
Ge2 0.365 0.779 0.606 1
Ge3 0.394 0.635 0.221 1
Ge4 0.606 0.365 0.779 1
Ge5 0.635 0.221 0.394 1
Ge6 0.779 0.606 0.365 1
O1 0.098 0.425 0.761 1
O2 0.123 0.175 0.455 1
O3 0.155 0.815 0.835 1
O4 0.165 0.845 0.185 1
O5 0.175 0.455 0.123 1
O6 0.185 0.165 0.845 1
O7 0.219 0.543 0.525 1
O8 0.239 0.902 0.575 1
O9 0.425 0.761 0.098 1
O10 0.455 0.123 0.175 1
O11 0.457 0.475 0.781 1
O12 0.475 0.781 0.457 1
O13 0.525 0.219 0.543 1
O14 0.543 0.525 0.219 1
O15 0.545 0.877 0.825 1
O16 0.575 0.239 0.902 1
O17 0.761 0.098 0.425 1
O18 0.781 0.457 0.475 1
O19 0.815 0.835 0.155 1
O20 0.825 0.545 0.877 1
O21 0.835 0.155 0.815 1
O22 0.845 0.185 0.165 1
O23 0.877 0.825 0.545 1
O24 0.902 0.575 0.239 1
```

Calculated values
E_form (uncorrected)   -2.499 eV/atom
Polymorph energy (0 for the lowest one)   0.029 eV per atom